{"formula": "CaMgSbTe2", "functional": "PBE", "state": "relaxed", "lattice_angstrom": [[5.923, 0.000, 0.000], [0.000, 5.923, 0.000], [0.000, 0.000, 5.747]], "species": ["Ca", "Mg", "Sb", "Te", "Te"], "fractional_positions": [[0.000, 0.000, 0.000], [0.500, 0.500, 0.000], [0.000, 0.000, 0.500], [0.000, 0.500, 0.500], [0.500, 0.000, 0.500]], "polymorph_energy_ev_per_fu": 1.534, "dft_energy_ev_per_atom": -2.74}

***

{"formula": "AlGa2Co5Si2", "functional": "PBE", "state": "relaxed", "lattice_angstrom": [[8.676, 0.000, 0.000], [0.000, 8.676, 0.000], [0.000, 0.000, 3.257]], "species": ["Al", "Al", "Ga", "Ga", "Ga", "Ga", "Co", "Co", "Co", "Co", "Co", "Co", "Co", "Co", "Co", "Co", "Si", "Si", "Si", "Si"], "fractional_positions": [[0.000, 0.000, 0.000], [0.500, 0.500, 0.000], [0.171, 0.329, 0.000], [0.329, 0.829, 0.000], [0.671, 0.171, 0.000], [0.829, 0.671, 0.000], [0.000, 0.500, 0.500], [0.084, 0.801, 0.500], [0.199, 0.084, 0.500], [0.301, 0.584, 0.500], [0.416, 0.301, 0.500], [0.500, 0.000, 0.500], [0.584, 0.699, 0.500], [0.699, 0.416, 0.500], [0.801, 0.916, 0.500], [0.916, 0.199, 0.500], [0.129, 0.629, 0.000], [0.371, 0.129, 0.000], [0.629, 0.871, 0.000], [0.871, 0.371, 0.000]], "dft_energy_ev_per_atom": -5.81}

***

{"formula": "SnGeAs2", "functional": "PBE", "state": "relaxed", "lattice_angstrom": [[-3.465, 3.465, 4.349], [3.465, -3.465, 4.349], [3.465, 3.465, -4.349]], "species": ["Sn", "Sn", "Ge", "Ge", "As", "As", "As", "As"], "fractional_positions": [[0.000, 0.000, 0.000], [0.750, 0.250, 0.500], [0.250, 0.750, 0.500], [0.500, 0.500, 0.000], [0.171, 0.125, 0.546], [0.375, 0.829, 0.954], [0.579, 0.625, 0.454], [0.875, 0.421, 0.046]], "polymorph_energy_ev_per_fu": 0.507, "ef_ev_per_fu": 0.52, "dft_energy_ev_per_atom": -4.35}

***

{"formula": "CaTb2Zn2In2", "functional": "PBE", "state": "relaxed", "lattice_angstrom": [[2.372, 1.369, 9.350], [-2.372, 1.369, 9.350], [0.000, -2.739, 9.350]], "species": ["Ca", "Tb", "Tb", "Zn", "Zn", "In", "In"], "fractional_positions": [[0.000, 0.000, 0.000], [0.129, 0.129, 0.129], [0.871, 0.871, 0.871], [0.412, 0.412, 0.412], [0.588, 0.588, 0.588], [0.259, 0.259, 0.259], [0.741, 0.741, 0.741]], "ef_ev_per_fu": -2.01, "dft_energy_ev_per_atom": -3.04}

***

{"formula": "PuZr2Al", "functional": "PBE", "state": "relaxed", "lattice_angstrom": [[4.552, 0.000, 0.000], [0.000, 4.552, 0.000], [0.000, 0.000, 4.148]], "species": ["Pu", "Zr", "Zr", "Al"], "fractional_positions": [[0.000, 0.000, 0.000], [0.000, 0.500, 0.500], [0.500, 0.000, 0.500], [0.500, 0.500, 0.000]], "polymorph_energy_ev_per_fu": 0.000, "ef_ev_per_fu": -0.73, "dft_energy_ev_per_atom": -8.97}

***

{"formula": "AcLuNiIr", "functional": "PBE", "state": "relaxed", "lattice_angstrom": [[0.000, 3.530, 3.530], [3.530, 0.000, 3.530], [3.530, 3.530, 0.000]], "species": ["Ac", "Lu", "Ni", "Ir"], "fractional_positions": [[0.000, 0.000, 0.000], [0.500, 0.500, 0.500], [0.750, 0.750, 0.750], [0.250, 0.250, 0.250]], "ef_ev_per_fu": -1.69, "dft_energy_ev_per_atom": -6.24}

***

{"formula": "BeSnP", "functional": "PBE", "state": "relaxed", "lattice_angstrom": [[3.405, 0.000, 0.000], [0.000, 3.381, 0.000], [-1.651, 0.000, 11.331]], "species": ["Be", "Be", "Sn", "Sn", "P", "P"], "fractional_positions": [[0.250, 0.250, 0.001], [0.750, 0.750, 0.999], [0.081, 0.750, 0.656], [0.919, 0.250, 0.344], [0.195, 0.750, 0.885], [0.805, 0.250, 0.115]], "polymorph_energy_ev_per_fu": 0.000, "ef_ev_per_fu": -0.15, "dft_energy_ev_per_atom": -4.43}

***

{"formula": "Li2TcBr", "functional": "PBE", "state": "relaxed", "lattice_angstrom": [[3.254, 0.000, 0.000], [0.000, 4.206, 0.000], [0.000, 0.000, 4.630]], "species": ["Li", "Li", "Tc", "Br"], "fractional_positions": [[0.000, 0.000, 0.000], [0.500, 0.000, 0.500], [0.000, 0.500, 0.500], [0.500, 0.500, 0.000]], "polymorph_energy_ev_per_fu": 1.022, "dft_energy_ev_per_atom": -3.63}

***

{"formula": "Pm3Pr7Y", "functional": "PBE", "state": "relaxed", "lattice_angstrom": [[-3.014, 5.745, 5.783], [3.014, -5.745, 5.783], [3.014, 5.745, -5.783]], "species": ["Pm", "Pm", "Pm", "Pr", "Pr", "Pr", "Pr", "Pr", "Pr", "Pr", "Y"], "fractional_positions": [[0.000, 0.000, 0.000], [0.207, 0.500, 0.707], [0.793, 0.500, 0.293], [0.009, 0.803, 0.206], [0.209, 0.709, 0.500], [0.403, 0.197, 0.206], [0.500, 0.500, 0.000], [0.597, 0.803, 0.794], [0.791, 0.291, 0.500], [0.991, 0.197, 0.794], [0.500, 0.000, 0.500]], "polymorph_energy_ev_per_fu": 0.000, "ef_ev_per_fu": 2.41, "dft_energy_ev_per_atom": -4.71}